(1)
First-principles (GGA-PBE) data for crystalline Ba2AlGaCu at its relaxed geometry, as listed in Alexandria.

a = 6.4578 Å, b = 4.5271 Å, c = 6.4578 Å
α = 90.00°, β = 90.00°, γ = 90.00°
Element x y z (fractional)
1 Cu 0.0000 0.5000 0.0000
2 Ba 0.0000 0.0000 0.5000
3 Ba 0.5000 0.0000 0.0000
4 Ga 0.5000 0.5000 0.5000
5 Al 0.0000 0.0000 0.0000

DOS(E_F)	1.550	states/eV per atom
formation energy from the elements	200	meV per atom
VASP energy	-2.742	eV per atom
space group	P4/mmm (123)
mass density	3.83	g/cm³

(2)
First-principles (GGA-PBE) data for crystalline Ba2AlGaCu6 at its relaxed geometry, as listed in Alexandria.

a = 6.4534 Å, b = 6.8457 Å, c = 6.8851 Å
α = 56.12°, β = 61.79°, γ = 89.83°
Element x y z (fractional)
1 Ba 0.7898 0.2094 0.4203
2 Ba 0.2102 0.7906 0.5797
3 Al 0.0000 0.0000 0.0000
4 Ga 0.5000 0.5000 0.0000
5 Cu 0.2490 0.3620 0.5011
6 Cu 0.6371 0.7512 0.1126
7 Cu 0.2490 0.7505 0.1149
8 Cu 0.7510 0.2495 0.8852
9 Cu 0.3629 0.2488 0.8874
10 Cu 0.7510 0.6380 0.4989

DOS(E_F)	0.516	states/eV per atom
formation energy from the elements	-100	meV per atom
VASP energy	-3.620	eV per atom
space group	P-1 (2)
mass density	6.01	g/cm³

(3)
First-principles (GGA-PBE) data for crystalline BaAlGa2Cu at its relaxed geometry, as listed in Alexandria.

a = 4.9132 Å, b = 6.5919 Å, c = 4.9132 Å
α = 90.00°, β = 90.00°, γ = 90.00°
Element x y z (fractional)
1 Cu 0.5000 0.5000 0.5000
2 Ba 0.0000 0.5000 0.0000
3 Ga 0.0000 0.0000 0.5000
4 Ga 0.5000 0.0000 0.0000
5 Al 0.0000 0.0000 0.0000

DOS(E_F)	0.448	states/eV per atom
formation energy from the elements	400	meV per atom
VASP energy	-2.763	eV per atom
space group	P4/mmm (123)
mass density	3.83	g/cm³

What did the third record say?
First-principles (GGA-PBE) data for crystalline BaAlGa2Cu at its relaxed geometry, as listed in Alexandria.

a = 4.9132 Å, b = 6.5919 Å, c = 4.9132 Å
α = 90.00°, β = 90.00°, γ = 90.00°
Element x y z (fractional)
1 Cu 0.5000 0.5000 0.5000
2 Ba 0.0000 0.5000 0.0000
3 Ga 0.0000 0.0000 0.5000
4 Ga 0.5000 0.0000 0.0000
5 Al 0.0000 0.0000 0.0000

DOS(E_F)	0.448	states/eV per atom
formation energy from the elements	400	meV per atom
VASP energy	-2.763	eV per atom
space group	P4/mmm (123)
mass density	3.83	g/cm³